Entry 1:
Material: CdNiPd2Au
Method: DFT, PBE-GGA
State: optimized geometry

a = 4.9605 Å, b = 4.9605 Å, c = 5.0555 Å
α = 90.00°, β = 90.00°, γ = 90.00°
With the nearest neighbours (Å) after each atom.
Sites, in units of the cell vectors:
Cd1 0.0000 0.0000 0.0000  4 Pd 2.48, 2 Au 2.53
Ni1 0.5000 0.5000 0.5000  4 Au 3.51, 8 Pd 3.54
Pd1 0.0000 0.5000 0.0000  2 Cd 2.48
Pd2 0.5000 0.0000 0.0000  2 Cd 2.48
Au1 0.0000 0.0000 0.5000  2 Cd 2.53

## Properties
Symmetry ... P4/mmm, No. 123
E_form ... 1.225 eV per atom
Final energy ... -14.24 eV/cell
Total magnetic moment ... 0.92 Bohr magnetons per cell

=====

Entry 2:
Material: PuCdNiAu
Method: DFT, PBE-GGA
State: optimized geometry

a = 4.8513 Å, b = 4.8513 Å, c = 4.8513 Å
α = 60.00°, β = 60.00°, γ = 60.00°
With the nearest neighbours (Å) after each atom.
Sites, in units of the cell vectors:
Pu1 0.0000 0.0000 0.0000  4 Ni 2.97, 4 Au 2.97
Cd1 0.5000 0.5000 0.5000  4 Au 2.97, 4 Ni 2.97
Ni1 0.2500 0.2500 0.2500  4 Cd 2.97, 4 Pu 2.97
Au1 0.7500 0.7500 0.7500  4 Pu 2.97, 4 Cd 2.97

## Properties
Symmetry ... F-43m, No. 216
E_form ... -0.113 eV per atom
Final energy ... -24.76 eV/cell
Total magnetic moment ... 5.18 Bohr magnetons per cell

=====

Entry 3:
Material: CdNiSbAu2
Method: DFT, PBE-GGA
State: optimized geometry

a = 4.8413 Å, b = 4.8413 Å, c = 4.7773 Å
α = 90.00°, β = 90.00°, γ = 90.00°
With the nearest neighbours (Å) after each atom.
Sites, in units of the cell vectors:
Cd1 0.0000 0.0000 0.0000  2 Ni 2.39
Ni1 0.0000 0.0000 0.5000  2 Cd 2.39, 4 Au 2.42
Sb1 0.5000 0.5000 0.0000  8 Au 3.40, 4 Cd 3.42
Au1 0.0000 0.5000 0.5000  2 Ni 2.42
Au2 0.5000 0.0000 0.5000  2 Ni 2.42

## Properties
ΔE to the lowest computed polymorph ... 0 meV per atom
Symmetry ... P4/mmm, No. 123
Final energy ... -15.20 eV/cell
Formation energy without anion corrections ... 435 meV/atom
Total magnetic moment ... 0.00 Bohr magnetons per cell

=====

Entry 4:
Material: CdNiSbAu2
Method: DFT, PBE-GGA
State: optimized geometry

a = 5.0864 Å, b = 5.0864 Å, c = 4.7470 Å
α = 90.00°, β = 90.00°, γ = 90.00°
With the nearest neighbours (Å) after each atom.
Sites, in units of the cell vectors:
Cd1 0.0000 0.0000 0.0000  2 Ni 2.37, 4 Au 2.54
Ni1 0.0000 0.0000 0.5000  2 Cd 2.37
Sb1 0.5000 0.5000 0.5000  8 Au 3.48, 4 Ni 3.60
Au1 0.0000 0.5000 0.0000  2 Cd 2.54
Au2 0.5000 0.0000 0.0000  2 Cd 2.54

## Properties
ΔE to the lowest computed polymorph ... 399 meV per atom
Symmetry ... P4/mmm, No. 123
Final energy ... -13.20 eV/cell
Formation energy without anion corrections ... 834 meV/atom
Total magnetic moment ... 0.00 Bohr magnetons per cell

=====

Entry 5:
Material: TlCdNiAu2
Method: DFT, PBE-GGA
State: optimized geometry

a = 4.9469 Å, b = 4.9469 Å, c = 4.9235 Å
α = 90.00°, β = 90.00°, γ = 90.00°
With the nearest neighbours (Å) after each atom.
Sites, in units of the cell vectors:
Tl1 0.0000 0.0000 0.0000  8 Au 3.49, 4 Cd 3.50
Cd1 0.5000 0.5000 0.0000  2 Ni 2.46
Ni1 0.5000 0.5000 0.5000  2 Cd 2.46, 4 Au 2.47
Au1 0.0000 0.5000 0.5000  2 Ni 2.47
Au2 0.5000 0.0000 0.5000  2 Ni 2.47

## Properties
Symmetry ... P4/mmm, No. 123
E_form ... 0.263 eV per atom
Final energy ... -14.30 eV/cell
Total magnetic moment ... 0.00 Bohr magnetons per cell

=====

Entry 6:
Material: TmCdNiAu
Method: DFT, PBE-GGA
State: optimized geometry

a = 4.7495 Å, b = 4.7495 Å, c = 4.7495 Å
α = 60.00°, β = 60.00°, γ = 60.00°
With the nearest neighbours (Å) after each atom.
Sites, in units of the cell vectors:
Tm1 0.0000 0.0000 0.0000  4 Ni 2.91, 4 Au 2.91
Cd1 0.5000 0.5000 0.5000  4 Ni 2.91, 4 Au 2.91
Ni1 0.7500 0.7500 0.7500  4 Cd 2.91, 4 Tm 2.91
Au1 0.2500 0.2500 0.2500  4 Cd 2.91, 4 Tm 2.91

## Properties
Symmetry ... F-43m, No. 216
E_form ... -0.419 eV per atom
Final energy ... -16.12 eV/cell
Total magnetic moment ... 0.00 Bohr magnetons per cell

=====

Entry 7:
Material: ZnCdNiAu2
Method: DFT, PBE-GGA
State: optimized geometry

a = 4.8450 Å, b = 4.8450 Å, c = 4.4679 Å
α = 90.00°, β = 90.00°, γ = 90.00°
With the nearest neighbours (Å) after each atom.
Sites, in units of the cell vectors:
Zn1 0.0000 0.0000 0.0000  2 Ni 2.23
Cd1 0.5000 0.5000 0.0000  8 Au 3.30, 4 Zn 3.43
Ni1 0.0000 0.0000 0.5000  2 Zn 2.23, 4 Au 2.42
Au1 0.0000 0.5000 0.5000  2 Ni 2.42
Au2 0.5000 0.0000 0.5000  2 Ni 2.42

## Properties
Symmetry ... P4/mmm, No. 123
E_form ... 0.343 eV per atom
Final energy ... -12.81 eV/cell
Total magnetic moment ... 0.00 Bohr magnetons per cell

=====

Entry 8:
Material: Zn2Cd2NiAu5
Method: DFT, PBE-GGA
State: optimized geometry

a = 9.8771 Å, b = 9.8771 Å, c = 3.6938 Å
α = 90.00°, β = 90.00°, γ = 90.00°
With the nearest neighbours (Å) after each atom.
Sites, in units of the cell vectors:
Zn1 0.1325 0.3675 0.0000  6 Au 2.61-2.65, 1 Cd 2.80
Zn2 0.3675 0.8675 0.0000  6 Au 2.61-2.65, 1 Cd 2.80
Zn3 0.6325 0.1325 0.0000  6 Au 2.61-2.65, 1 Cd 2.80
Zn4 0.8675 0.6325 0.0000  6 Au 2.61-2.65, 1 Cd 2.80
Cd1 0.1668 0.6668 0.0000  3 Zn 2.80-2.98, 6 Au 2.97-3.00
Cd2 0.3332 0.1668 0.0000  3 Zn 2.80-2.98, 6 Au 2.97-3.00
Cd3 0.6668 0.8332 0.0000  3 Zn 2.80-2.98, 6 Au 2.97-3.00
Cd4 0.8332 0.3332 0.0000  3 Zn 2.80-2.98, 6 Au 2.97-3.00
Ni1 0.0000 0.0000 0.0000  8 Au 2.72
Ni2 0.5000 0.5000 0.0000  8 Au 2.72
Au1 0.0000 0.5000 0.5000  4 Zn 2.61
Au2 0.0938 0.1793 0.5000  2 Zn 2.65, 2 Ni 2.72, 2 Au 2.83
Au3 0.1793 0.9062 0.5000  2 Zn 2.65, 2 Ni 2.72, 2 Au 2.83
Au4 0.3207 0.4062 0.5000  2 Zn 2.65, 2 Ni 2.72, 2 Au 2.83
Au5 0.4062 0.6793 0.5000  2 Zn 2.65, 2 Ni 2.72, 2 Au 2.83
Au6 0.5000 0.0000 0.5000  4 Zn 2.61
Au7 0.5938 0.3207 0.5000  2 Zn 2.65, 2 Ni 2.72, 2 Au 2.83
Au8 0.6793 0.5938 0.5000  2 Zn 2.65, 2 Ni 2.72, 2 Au 2.83
Au9 0.8207 0.0938 0.5000  2 Zn 2.65, 2 Ni 2.72, 2 Au 2.83
Au10 0.9062 0.8207 0.5000  2 Zn 2.65, 2 Ni 2.72, 2 Au 2.83

## Properties
Symmetry ... P4/mbm, No. 127
E_form ... -0.066 eV per atom
Final energy ... -54.41 eV/cell
Total magnetic moment ... 0.00 Bohr magnetons per cell

=====

Entry 9:
Material: NpCdAu
Method: DFT, PBE-GGA
State: optimized geometry

a = 7.3983 Å, b = 6.8079 Å, c = 4.8130 Å
α = 76.97°, β = 63.70°, γ = 39.33°
With the nearest neighbours (Å) after each atom.
Sites, in units of the cell vectors:
Np1 0.1648 0.8352 0.1648  1 Np 2.62
Np2 0.8352 0.1648 0.8352  1 Np 2.62
Cd1 0.2500 0.2500 0.2500  2 Cd 2.72, 4 Au 2.93
Cd2 0.7500 0.7500 0.7500  2 Cd 2.72, 4 Au 2.93
Au1 0.3840 0.3840 0.6160  1 Au 2.90, 4 Cd 2.93, 2 Np 3.03
Au2 0.6160 0.6160 0.3840  1 Au 2.90, 4 Cd 2.93, 2 Np 3.03

## Properties
Symmetry ... Fmmm, No. 69
E_form ... 0.027 eV per atom
Final energy ... -34.11 eV/cell
Total magnetic moment ... 8.39 Bohr magnetons per cell

=====

Entry 10:
Material: NpCd3Au4
Method: DFT, PBE-GGA
State: optimized geometry

a = 4.8738 Å, b = 4.8738 Å, c = 8.6297 Å
α = 106.65°, β = 106.65°, γ = 60.00°
With the nearest neighbours (Å) after each atom.
Sites, in units of the cell vectors:
Np1 0.0000 0.0000 0.0000  8 Au 3.06-3.09
Cd1 0.2496 0.2496 0.7497  8 Au 2.93-3.24
Cd2 0.5000 0.5000 0.5000  8 Au 2.87-2.98
Cd3 0.7504 0.7504 0.2503  8 Au 2.93-3.24
Au1 0.1255 0.1255 0.3795  7 Cd 2.98-3.02, 1 Np 3.09
Au2 0.3830 0.3830 0.1471  4 Cd 2.87-2.94, 3 Np 3.06
Au3 0.6170 0.6170 0.8529  4 Cd 2.87-2.94, 3 Np 3.06
Au4 0.8745 0.8745 0.6205  7 Cd 2.98-3.02, 1 Np 3.09

## Properties
Symmetry ... C2/m, No. 12
E_form ... -0.144 eV per atom
Final energy ... -29.95 eV/cell
Total magnetic moment ... 3.95 Bohr magnetons per cell

=====

Entry 11:
Material: NpCd4Au5
Method: DFT, PBE-GGA
State: optimized geometry

a = 3.1802 Å, b = 3.1802 Å, c = 19.7822 Å
α = 90.00°, β = 90.00°, γ = 90.00°
With the nearest neighbours (Å) after each atom.
Sites, in units of the cell vectors:
Np1 0.0000 0.0000 0.0000  8 Au 3.12, 4 Np 3.18
Cd1 0.0000 0.0000 0.2074  8 Au 2.97, 4 Cd 3.18
Cd2 0.0000 0.0000 0.4023  8 Au 2.96, 4 Cd 3.18
Cd3 0.0000 0.0000 0.5977  8 Au 2.96, 4 Cd 3.18
Cd4 0.0000 0.0000 0.7926  8 Au 2.97, 4 Cd 3.18
Au1 0.5000 0.5000 0.1090  4 Cd 2.97, 4 Np 3.12, 4 Au 3.18
Au2 0.5000 0.5000 0.3052  8 Cd 2.96-2.97, 4 Au 3.18
Au3 0.5000 0.5000 0.5000  8 Cd 2.96, 4 Au 3.18
Au4 0.5000 0.5000 0.6948  8 Cd 2.96-2.97, 4 Au 3.18
Au5 0.5000 0.5000 0.8910  4 Cd 2.97, 4 Np 3.12, 4 Au 3.18

## Properties
Symmetry ... P4/mmm, No. 123
E_form ... -0.155 eV per atom
Final energy ... -34.54 eV/cell
Total magnetic moment ... 4.21 Bohr magnetons per cell

=====

Entry 12:
Material: NpCd2Au6
Method: DFT, PBE-GGA
State: optimized geometry

a = 8.3985 Å, b = 8.3985 Å, c = 8.3985 Å
α = 159.10°, β = 120.58°, γ = 63.71°
With the nearest neighbours (Å) after each atom.
Sites, in units of the cell vectors:
Np1 0.0000 0.0000 0.0000  2 Np 3.05, 12 Au 3.14-3.24
Cd1 0.3491 0.8491 0.5000  10 Au 2.88-3.14, 2 Cd 3.05
Cd2 0.6509 0.1509 0.5000  10 Au 2.88-3.14, 2 Cd 3.05
Au1 0.0017 0.6735 0.3282  6 Au 2.81-3.05, 1 Cd 2.88
Au2 0.3303 0.5000 0.8303  5 Au 2.81-3.05, 4 Cd 2.99
Au3 0.3454 0.6735 0.6718  6 Au 2.81-3.05, 1 Cd 2.88
Au4 0.6546 0.3265 0.3282  6 Au 2.81-3.05, 1 Cd 2.88
Au5 0.6697 0.5000 0.1697  5 Au 2.81-3.05, 4 Cd 2.99
Au6 0.9983 0.3265 0.6718  6 Au 2.81-3.05, 1 Cd 2.88

## Properties
Symmetry ... Immm, No. 71
E_form ... -0.135 eV per atom
Final energy ... -35.65 eV/cell
Total magnetic moment ... 4.51 Bohr magnetons per cell

=====

Entry 13:
Material: NpCdAu
Method: DFT, PBE-GGA
State: optimized geometry

a = 5.0475 Å, b = 5.0475 Å, c = 2.9455 Å
α = 90.00°, β = 90.00°, γ = 120.00°
With the nearest neighbours (Å) after each atom.
Sites, in units of the cell vectors:
Np1 0.0000 0.0000 0.0000  2 Np 2.95, 6 Au 3.27, 6 Cd 3.27
Cd1 0.3333 0.6667 0.5000  3 Au 2.91, 2 Cd 2.95
Au1 0.6667 0.3333 0.5000  3 Cd 2.91, 2 Au 2.95

## Properties
Symmetry ... P-6m2, No. 187
E_form ... -0.086 eV per atom
Final energy ... -17.39 eV/cell
Total magnetic moment ... 4.35 Bohr magnetons per cell

=====

Entry 14:
Material: NpCdAu6
Method: DFT, PBE-GGA
State: optimized geometry

a = 4.9081 Å, b = 4.9081 Å, c = 8.5255 Å
α = 110.73°, β = 110.73°, γ = 58.34°
With the nearest neighbours (Å) after each atom.
Sites, in units of the cell vectors:
Np1 0.0000 0.0000 0.0000  12 Au 3.01-3.30
Cd1 0.5000 0.5000 0.5000  8 Au 2.80-2.95
Au1 0.1342 0.1342 0.3934  3 Cd 2.89-2.95, 6 Au 2.92-3.17, 1 Np 3.07
Au2 0.2478 0.2478 0.7663  8 Au 2.89-3.12
Au3 0.3884 0.3884 0.1431  1 Cd 2.80, 4 Au 2.89-2.94, 3 Np 3.01-3.05
Au4 0.6116 0.6116 0.8569  1 Cd 2.80, 4 Au 2.89-2.94, 3 Np 3.01-3.05
Au5 0.7522 0.7522 0.2337  8 Au 2.89-3.12
Au6 0.8658 0.8658 0.6066  3 Cd 2.89-2.95, 6 Au 2.92-3.17, 1 Np 3.07

## Properties
ΔE to the lowest computed polymorph ... 0 meV per atom
Symmetry ... C2/m, No. 12
E_form ... -0.131 eV per atom
Final energy ... -34.57 eV/cell
Total magnetic moment ... 3.84 Bohr magnetons per cell

=====

Entry 15:
Material: NpCdAu6
Method: DFT, PBE-GGA
State: optimized geometry

a = 5.0299 Å, b = 6.0478 Å, c = 6.0478 Å
α = 60.02°, β = 90.00°, γ = 90.00°
With the nearest neighbours (Å) after each atom.
Sites, in units of the cell vectors:
Np1 0.0000 0.0000 0.0000  12 Au 3.02-3.09
Cd1 0.5000 0.3330 0.3330  12 Au 3.02-3.06
Au1 0.0000 0.9996 0.4999  8 Au 3.02-3.05, 2 Np 3.02-3.03, 2 Cd 3.06
Au2 0.0000 0.4989 0.4989  8 Au 3.02-3.05, 2 Np 3.02, 2 Cd 3.06
Au3 0.0000 0.4999 0.9996  8 Au 3.02-3.05, 2 Np 3.02-3.03, 2 Cd 3.06
Au4 0.5000 0.3425 0.8285  8 Au 2.94-3.11, 2 Cd 3.02-3.03, 2 Np 3.09
Au5 0.5000 0.8285 0.3425  8 Au 2.94-3.11, 2 Cd 3.02-3.03, 2 Np 3.09
Au6 0.5000 0.8290 0.8290  8 Au 2.94-3.10, 2 Cd 3.02, 2 Np 3.09

## Properties
ΔE to the lowest computed polymorph ... 44 meV per atom
Symmetry ... Amm2, No. 38
E_form ... -0.087 eV per atom
Final energy ... -34.22 eV/cell
Total magnetic moment ... 4.04 Bohr magnetons per cell

=====

Entry 16:
Material: NpCdAu
Method: DFT, PBE-GGA
State: optimized geometry

a = 7.1574 Å, b = 7.1574 Å, c = 7.1574 Å
α = 154.98°, β = 154.98°, γ = 35.67°
With the nearest neighbours (Å) after each atom.
Sites, in units of the cell vectors:
Np1 0.0000 0.0000 0.0000  4 Np 3.10, 4 Au 3.13, 4 Cd 3.37
Cd1 0.3123 0.3123 0.0000  4 Au 2.99, 4 Cd 3.10
Au1 0.6635 0.6635 0.0000  4 Cd 2.99, 4 Au 3.10, 4 Np 3.13

## Properties
Symmetry ... I4mm, No. 107
E_form ... 0.005 eV per atom
Final energy ... -17.12 eV/cell
Total magnetic moment ... 4.59 Bohr magnetons per cell

=====

Entry 17:
Material: NpCdAuO6
Method: DFT, PBE-GGA
State: optimized geometry

a = 5.4838 Å, b = 5.4838 Å, c = 9.9706 Å
α = 90.00°, β = 90.00°, γ = 120.00°
With the nearest neighbours (Å) after each atom.
Sites, in units of the cell vectors:
Np1 0.3333 0.6667 0.2500  6 O 2.04
Np2 0.6667 0.3333 0.7500  6 O 2.04
Cd1 0.0000 0.0000 0.0000  6 O 2.33
Cd2 0.0000 0.0000 0.5000  6 O 2.33
Au1 0.3333 0.6667 0.7500  6 O 2.22
Au2 0.6667 0.3333 0.2500  6 O 2.22
O1 0.0246 0.3598 0.1347  1 Np 2.04, 1 Au 2.22
O2 0.0246 0.6648 0.3653  1 Np 2.04, 1 Au 2.22
O3 0.3352 0.3598 0.3653  1 Np 2.04, 1 Au 2.22
O4 0.3352 0.9754 0.1347  1 Np 2.04, 1 Au 2.22
O5 0.3598 0.0246 0.6347  1 Np 2.04, 1 Au 2.22
O6 0.3598 0.3352 0.8653  1 Np 2.04, 1 Au 2.22
O7 0.6402 0.6648 0.1347  1 Np 2.04, 1 Au 2.22
O8 0.6402 0.9754 0.3653  1 Np 2.04, 1 Au 2.22
O9 0.6648 0.0246 0.8653  1 Np 2.04, 1 Au 2.22
O10 0.6648 0.6402 0.6347  1 Np 2.04, 1 Au 2.22
O11 0.9754 0.3352 0.6347  1 Np 2.04, 1 Au 2.22
O12 0.9754 0.6402 0.8653  1 Np 2.04, 1 Au 2.22

## Properties
Symmetry ... P-31c, No. 163
Final energy ... -117.73 eV/cell
Formation energy without anion corrections ... -1331 meV/atom
Total magnetic moment ... 4.19 Bohr magnetons per cell

=====

Entry 18:
Material: NpCd2AuO8
Method: DFT, PBE-GGA
State: optimized geometry

a = 5.0356 Å, b = 6.5441 Å, c = 5.1776 Å
α = 90.00°, β = 93.84°, γ = 90.00°
With the nearest neighbours (Å) after each atom.
Sites, in units of the cell vectors:
Np1 0.0000 0.0000 0.0000  6 O 1.95-2.11
Cd1 0.5000 0.2604 0.5000  6 O 2.19-2.44
Cd2 0.5000 0.7396 0.5000  6 O 2.19-2.44
Au1 0.0000 0.5000 0.0000  6 O 2.02-2.08
O1 0.2001 0.2533 0.8499  1 Au 2.08, 1 Np 2.11
O2 0.2001 0.7467 0.8499  1 Au 2.08, 1 Np 2.11
O3 0.2444 0.5000 0.3249  1 Au 2.02, 2 Cd 2.19
O4 0.2585 0.0000 0.2968  1 Np 1.95
O5 0.7415 0.0000 0.7032  1 Np 1.95
O6 0.7556 0.5000 0.6751  1 Au 2.02, 2 Cd 2.19
O7 0.7999 0.2533 0.1501  1 Au 2.08, 1 Np 2.11
O8 0.7999 0.7467 0.1501  1 Au 2.08, 1 Np 2.11

## Properties
Symmetry ... P2/m, No. 10
Final energy ... -71.08 eV/cell
Formation energy without anion corrections ... -1114 meV/atom
Total magnetic moment ... 0.51 Bohr magnetons per cell

=====

Entry 19:
Material: NpCdRhAu
Method: DFT, PBE-GGA
State: optimized geometry

a = 4.8488 Å, b = 4.8488 Å, c = 4.8488 Å
α = 60.00°, β = 60.00°, γ = 60.00°
With the nearest neighbours (Å) after each atom.
Sites, in units of the cell vectors:
Np1 0.0000 0.0000 0.0000  4 Rh 2.97, 4 Au 2.97
Cd1 0.5000 0.5000 0.5000  4 Rh 2.97, 4 Au 2.97
Rh1 0.7500 0.7500 0.7500  4 Np 2.97, 4 Cd 2.97
Au1 0.2500 0.2500 0.2500  4 Cd 2.97, 4 Np 2.97

## Properties
Symmetry ... F-43m, No. 216
E_form ... -0.119 eV per atom
Final energy ... -24.96 eV/cell
Total magnetic moment ... 3.65 Bohr magnetons per cell

=====

Entry 20:
Material: NpCdSbAu
Method: DFT, PBE-GGA
State: optimized geometry

a = 5.1210 Å, b = 5.1210 Å, c = 5.1210 Å
α = 60.00°, β = 60.00°, γ = 60.00°
With the nearest neighbours (Å) after each atom.
Sites, in units of the cell vectors:
Np1 0.0000 0.0000 0.0000  4 Sb 3.14, 4 Au 3.14
Cd1 0.5000 0.5000 0.5000  4 Sb 3.14, 4 Au 3.14
Sb1 0.2500 0.2500 0.2500  4 Cd 3.14, 4 Np 3.14
Au1 0.7500 0.7500 0.7500  4 Cd 3.14, 4 Np 3.14

## Properties
Symmetry ... F-43m, No. 216
Final energy ... -21.64 eV/cell
Formation energy without anion corrections ... -96 meV/atom
Total magnetic moment ... 4.37 Bohr magnetons per cell